No. 1
# Y2MoPdPt (PBE, relaxed)
# * DFT total energy: -32.56 eV for the cell shown
# * M_tot: 3.97 Bohr magnetons per cell
# * calculated formation energy: 0.49 eV/atom
# * crystal system: tetragonal
data_Y2MoPdPt
_chemical_formula_sum 'Y2 Mo1 Pd1 Pt1'
_symmetry_space_group_name_H-M 'P 4/m m m'
_symmetry_Int_Tables_number 123
_symmetry_space_group_name_Hall '-P 4 2'
_cell_length_a 5.2441
_cell_length_b 5.2441
_cell_length_c 5.0230
_cell_angle_alpha 90.00
_cell_angle_beta 90.00
_cell_angle_gamma 90.00
loop_
_atom_site_label
_atom_site_fract_x
_atom_site_fract_y
_atom_site_fract_z
Y1 0.0000 0.5000 0.0000
Mo1 0.0000 0.0000 0.5000
Pd1 0.5000 0.5000 0.5000
Pt1 0.5000 0.5000 0.0000



No. 2
# Mg2MnTc (PBE, relaxed)
# * DFT total energy: -21.58 eV for the cell shown
# * M_tot: 3.54 Bohr magnetons per cell
# * relative energy among the computed polymorphs: 4.92 kcal/mol of atoms
# * calculated formation energy: 0.29 eV/atom
# * crystal system: orthorhombic
data_Mg2MnTc
_chemical_formula_sum 'Mg2 Mn1 Tc1'
_symmetry_space_group_name_H-M 'P m m m'
_symmetry_Int_Tables_number 47
_cell_length_a 3.9369
_cell_length_b 3.9785
_cell_length_c 4.1750
_cell_angle_alpha 90.00
_cell_angle_beta 90.00
_cell_angle_gamma 90.00
loop_
_symmetry_equiv_pos_as_xyz
'x,y,z'
'-x,-y,-z'
'-x,-y,z'
'x,y,-z'
'x,-y,-z'
'-x,y,z'
'-x,y,-z'
'x,-y,z'
loop_
_atom_site_label
_atom_site_fract_x
_atom_site_fract_y
_atom_site_fract_z
Mg1 0.0000 0.0000 0.0000
Mg2 0.5000 0.5000 0.0000
Mn1 0.0000 0.5000 0.5000
Tc1 0.5000 0.0000 0.5000



Q: What is the formula in the first record?
A: Y2MoPdPt



Q: Which formula does entry 2 have?
A: Mg2MnTc



Q: What is the formula in the second record?
A: Mg2MnTc